Arrangement P

Entry from the Alexandria database: a relaxed Li3AgPd crystal (PBE).

Cell and atoms, written as CIF:
```
data_Li3AgPd
_cell_length_a 4.6893
_cell_length_b 4.6893
_cell_length_c 4.6893
_cell_angle_alpha 90.00
_cell_angle_beta 90.00
_cell_angle_gamma 90.00
_space_group_name_H-M_alt 'P m -3 m'
_space_group_IT_number 221
_space_group_name_Hall '-P 4 2 3'
loop_
_atom_site_label
_atom_site_type_symbol
_atom_site_fract_x
_atom_site_fract_y
_atom_site_fract_z
Li1 Li 0.0000 0.0000 0.5000
Ag1 Ag 0.5000 0.5000 0.5000
Pd1 Pd 0.0000 0.0000 0.0000
```

Spin magnetization: 0.0 μB per cell
Crystal system: cubic

=====

Arrangement Q

Entry from the Alexandria database: a relaxed Li3AgPd crystal (PBE).

Cell and atoms, written as CIF:
```
data_Li3AgPd
_cell_length_a 5.1764
_cell_length_b 4.3742
_cell_length_c 6.8700
_cell_angle_alpha 90.00
_cell_angle_beta 104.83
_cell_angle_gamma 90.00
_space_group_name_H-M_alt 'P 1 21/m 1'
_space_group_IT_number 11
_space_group_name_Hall '-P 2yb'
loop_
_atom_site_label
_atom_site_type_symbol
_atom_site_fract_x
_atom_site_fract_y
_atom_site_fract_z
Li1 Li 0.1381 0.2500 0.0565
Li2 Li 0.2353 0.7500 0.7279
Li3 Li 0.3344 0.2500 0.4583
Ag1 Ag 0.4589 0.7500 0.1408
Pd1 Pd 0.0494 0.7500 0.3395
```

Spin magnetization: 0.0 μB per cell
Crystal system: monoclinic

=====

Short version: arrangement Q is the most stable of them.

=====

Arrangement P

Entry from the Alexandria database: a relaxed LiAg6Pd crystal (PBE).

Cell and atoms, written as CIF:
```
data_LiAg6Pd
_cell_length_a 5.7237
_cell_length_b 5.7237
_cell_length_c 4.1788
_cell_angle_alpha 90.00
_cell_angle_beta 90.00
_cell_angle_gamma 90.00
_space_group_name_H-M_alt 'P 4/m m m'
_space_group_IT_number 123
_space_group_name_Hall '-P 4 2'
loop_
_atom_site_label
_atom_site_type_symbol
_atom_site_fract_x
_atom_site_fract_y
_atom_site_fract_z
Li1 Li 0.0000 0.0000 0.0000
Ag1 Ag 0.0000 0.5000 0.0000
Ag2 Ag 0.2498 0.2498 0.5000
Pd1 Pd 0.5000 0.5000 0.0000
```

Spin magnetization: 0.0 μB per cell
Crystal system: tetragonal

=====

Arrangement Q

Entry from the Alexandria database: a relaxed LiAg6Pd crystal (PBE).

Cell and atoms, written as CIF:
```
data_LiAg6Pd
_cell_length_a 7.9861
_cell_length_b 5.4506
_cell_length_c 7.5300
_cell_angle_alpha 90.00
_cell_angle_beta 107.71
_cell_angle_gamma 90.00
_space_group_name_H-M_alt 'C 1 2/m 1'
_space_group_IT_number 12
_space_group_name_Hall '-C 2y'
loop_
_atom_site_label
_atom_site_type_symbol
_atom_site_fract_x
_atom_site_fract_y
_atom_site_fract_z
Li1 Li 0.0000 0.0000 0.0000
Ag1 Ag 0.1413 0.0000 0.4347
Ag2 Ag 0.1938 0.2468 0.8071
Pd1 Pd 0.0000 0.5000 0.5000
```

Spin magnetization: 0.0 μB per cell
Crystal system: monoclinic

=====

Short version: arrangement P is the most stable of them.

=====

Arrangement P

Entry from the Alexandria database: a relaxed Li7Ag3Pd2 crystal (PBE).

Cell and atoms, written as CIF:
```
data_Li7Ag3Pd2
_cell_length_a 4.1395
_cell_length_b 24.1163
_cell_length_c 3.9656
_cell_angle_alpha 90.00
_cell_angle_beta 90.00
_cell_angle_gamma 90.00
_space_group_name_H-M_alt 'C m m m'
_space_group_IT_number 65
_space_group_name_Hall '-C 2 2'
loop_
_atom_site_label
_atom_site_type_symbol
_atom_site_fract_x
_atom_site_fract_y
_atom_site_fract_z
Li1 Li 0.0000 0.0000 0.0000
Li2 Li 0.0000 0.0868 0.5000
Li3 Li 0.0000 0.2739 0.0000
Li4 Li 0.0000 0.4151 0.0000
Ag1 Ag 0.0000 0.3415 0.5000
Ag2 Ag 0.0000 0.5000 0.5000
Pd1 Pd 0.0000 0.1584 0.0000
```

Spin magnetization: 0.0 μB per cell
Crystal system: orthorhombic

=====

Arrangement Q

Entry from the Alexandria database: a relaxed Li7Ag3Pd2 crystal (PBE).

Cell and atoms, written as CIF:
```
data_Li7Ag3Pd2
_cell_length_a 4.5418
_cell_length_b 2.8716
_cell_length_c 15.2101
_cell_angle_alpha 90.00
_cell_angle_beta 98.31
_cell_angle_gamma 90.00
_space_group_name_H-M_alt 'P 1 2/m 1'
_space_group_IT_number 10
_space_group_name_Hall '-P 2y'
loop_
_atom_site_label
_atom_site_type_symbol
_atom_site_fract_x
_atom_site_fract_y
_atom_site_fract_z
Li1 Li 0.0000 0.0000 0.0000
Li2 Li 0.1050 0.5000 0.2151
Li3 Li 0.2723 0.5000 0.5452
Li4 Li 0.4264 0.0000 0.8508
Ag1 Ag 0.1861 0.0000 0.3761
Ag2 Ag 0.5000 0.5000 0.0000
Pd1 Pd 0.3570 0.5000 0.7083
```

Spin magnetization: 0.0 μB per cell
Crystal system: monoclinic

=====

Short version: arrangement Q is the most stable of them.

=====

Arrangement P

Entry from the Alexandria database: a relaxed Li2Ag4Pd crystal (PBE).

Cell and atoms, written as CIF:
```
data_Li2Ag4Pd
_cell_length_a 4.8886
_cell_length_b 4.9773
_cell_length_c 4.9973
_cell_angle_alpha 99.35
_cell_angle_beta 99.10
_cell_angle_gamma 99.51
_space_group_name_H-M_alt 'P -1'
_space_group_IT_number 2
_space_group_name_Hall '-P 1'
loop_
_atom_site_label
_atom_site_type_symbol
_atom_site_fract_x
_atom_site_fract_y
_atom_site_fract_z
Li1 Li 0.0756 0.2767 0.1482
Ag1 Ag 0.2155 0.8555 0.4304
Ag2 Ag 0.3518 0.4316 0.7249
Pd1 Pd 0.5000 0.0000 0.0000
```

Spin magnetization: 0.0 μB per cell
Crystal system: triclinic

=====

Arrangement Q

Entry from the Alexandria database: a relaxed Li2Ag4Pd crystal (PBE).

Cell and atoms, written as CIF:
```
data_Li2Ag4Pd
_cell_length_a 5.0365
_cell_length_b 5.0365
_cell_length_c 13.6136
_cell_angle_alpha 90.00
_cell_angle_beta 90.00
_cell_angle_gamma 90.00
_space_group_name_H-M_alt 'I 4/m m m'
_space_group_IT_number 139
_space_group_name_Hall '-I 4 2'
loop_
_atom_site_label
_atom_site_type_symbol
_atom_site_fract_x
_atom_site_fract_y
_atom_site_fract_z
Li1 Li 0.0000 0.0000 0.1086
Ag1 Ag 0.0000 0.0000 0.3062
Ag2 Ag 0.0000 0.5000 0.0000
Pd1 Pd 0.0000 0.0000 0.5000
```

Spin magnetization: 0.0 μB per cell
Crystal system: tetragonal

=====

Short version: arrangement P is the most stable of them.

=====

Arrangement P

Entry from the Alexandria database: a relaxed Li4Ag5Pd crystal (PBE).

Cell and atoms, written as CIF:
```
data_Li4Ag5Pd
_cell_length_a 14.3912
_cell_length_b 4.1816
_cell_length_c 5.5708
_cell_angle_alpha 90.00
_cell_angle_beta 107.84
_cell_angle_gamma 90.00
_space_group_name_H-M_alt 'C 1 2/m 1'
_space_group_IT_number 12
_space_group_name_Hall '-C 2y'
loop_
_atom_site_label
_atom_site_type_symbol
_atom_site_fract_x
_atom_site_fract_y
_atom_site_fract_z
Li1 Li 0.0907 0.0000 0.3106
Li2 Li 0.1922 0.5000 0.1115
Ag1 Ag 0.0000 0.5000 0.5000
Ag2 Ag 0.1077 0.0000 0.8315
Ag3 Ag 0.2074 0.5000 0.6192
Pd1 Pd 0.0000 0.5000 0.0000
```

Spin magnetization: 0.0 μB per cell
Crystal system: monoclinic

=====

Arrangement Q

Entry from the Alexandria database: a relaxed Li4Ag5Pd crystal (PBE).

Cell and atoms, written as CIF:
```
data_Li4Ag5Pd
_cell_length_a 8.0452
_cell_length_b 8.0452
_cell_length_c 5.2825
_cell_angle_alpha 90.00
_cell_angle_beta 90.00
_cell_angle_gamma 90.00
_space_group_name_H-M_alt 'I 4'
_space_group_IT_number 79
_space_group_name_Hall 'I 4'
loop_
_atom_site_label
_atom_site_type_symbol
_atom_site_fract_x
_atom_site_fract_y
_atom_site_fract_z
Li1 Li 0.1238 0.7606 0.0000
Ag1 Ag 0.0000 0.0000 0.2637
Ag2 Ag 0.0487 0.6721 0.5120
Pd1 Pd 0.0000 0.0000 0.7476
```

Spin magnetization: 0.0 μB per cell
Crystal system: tetragonal

=====

Short version: arrangement P is the most stable of them.

=====

Arrangement P

Entry from the Alexandria database: a relaxed Li3Ag2Pd3 crystal (PBE).

Cell and atoms, written as CIF:
```
data_Li3Ag2Pd3
_cell_length_a 4.2321
_cell_length_b 4.5136
_cell_length_c 12.8683
_cell_angle_alpha 90.00
_cell_angle_beta 90.00
_cell_angle_gamma 90.00
_space_group_name_H-M_alt 'I m m m'
_space_group_IT_number 71
_space_group_name_Hall '-I 2 2'
loop_
_atom_site_label
_atom_site_type_symbol
_atom_site_fract_x
_atom_site_fract_y
_atom_site_fract_z
Li1 Li 0.0000 0.0000 0.0000
Li2 Li 0.0000 0.5000 0.1222
Ag1 Ag 0.0000 0.0000 0.2559
Pd1 Pd 0.0000 0.0000 0.5000
Pd2 Pd 0.0000 0.5000 0.3863
```

Spin magnetization: 0.0 μB per cell
Crystal system: orthorhombic

=====

Arrangement Q

Entry from the Alexandria database: a relaxed Li3Ag2Pd3 crystal (PBE).

Cell and atoms, written as CIF:
```
data_Li3Ag2Pd3
_cell_length_a 7.0563
_cell_length_b 7.0563
_cell_length_c 8.4556
_cell_angle_alpha 90.00
_cell_angle_beta 90.00
_cell_angle_gamma 120.00
_space_group_name_H-M_alt 'R 3 2'
_space_group_IT_number 155
_space_group_name_Hall 'R 3 2"'
loop_
_atom_site_label
_atom_site_type_symbol
_atom_site_fract_x
_atom_site_fract_y
_atom_site_fract_z
Li1 Li 0.0000 0.7307 0.0000
Ag1 Ag 0.0000 0.0000 0.2360
Pd1 Pd 0.0000 0.2438 0.5000
```

Spin magnetization: 0.0 μB per cell
Crystal system: trigonal

=====

Short version: arrangement P is the most stable of them.

=====

Arrangement P

Entry from the Alexandria database: a relaxed Li4Ag7Pd crystal (PBE).

Cell and atoms, written as CIF:
```
data_Li4Ag7Pd
_cell_length_a 5.0006
_cell_length_b 5.7142
_cell_length_c 7.5016
_cell_angle_alpha 101.10
_cell_angle_beta 108.23
_cell_angle_gamma 90.06
_space_group_name_H-M_alt 'P -1'
_space_group_IT_number 2
_space_group_name_Hall '-P 1'
loop_
_atom_site_label
_atom_site_type_symbol
_atom_site_fract_x
_atom_site_fract_y
_atom_site_fract_z
Li1 Li 0.1785 0.4230 0.1734
Li2 Li 0.3174 0.8411 0.8220
Ag1 Ag 0.0000 0.5000 0.5000
Ag2 Ag 0.1653 0.9158 0.1596
Ag3 Ag 0.3317 0.3346 0.8414
Ag4 Ag 0.4995 0.2491 0.4993
Pd1 Pd 0.0000 0.0000 0.5000
```

Spin magnetization: 0.0 μB per cell
Crystal system: triclinic

=====

Arrangement Q

Entry from the Alexandria database: a relaxed Li4Ag7Pd crystal (PBE).

Cell and atoms, written as CIF:
```
data_Li4Ag7Pd
_cell_length_a 10.6583
_cell_length_b 5.0707
_cell_length_c 9.4795
_cell_angle_alpha 90.00
_cell_angle_beta 119.06
_cell_angle_gamma 90.00
_space_group_name_H-M_alt 'C 1 2/m 1'
_space_group_IT_number 12
_space_group_name_Hall '-C 2y'
loop_
_atom_site_label
_atom_site_type_symbol
_atom_site_fract_x
_atom_site_fract_y
_atom_site_fract_z
Li1 Li 0.0893 0.0000 0.2751
Li2 Li 0.2458 0.0000 0.8229
Ag1 Ag 0.0000 0.0000 0.5000
Ag2 Ag 0.0644 0.5000 0.8359
Ag3 Ag 0.1387 0.0000 0.0222
Ag4 Ag 0.2128 0.5000 0.4238
Pd1 Pd 0.0000 0.5000 0.5000
```

Spin magnetization: 0.0 μB per cell
Crystal system: monoclinic

=====

Short version: arrangement P is the most stable of them.

=====

Arrangement P

Entry from the Alexandria database: a relaxed Li4Ag4Pd crystal (PBE).

Cell and atoms, written as CIF:
```
data_Li4Ag4Pd
_cell_length_a 8.5141
_cell_length_b 8.5141
_cell_length_c 4.0000
_cell_angle_alpha 90.00
_cell_angle_beta 90.00
_cell_angle_gamma 90.00
_space_group_name_H-M_alt 'I 4/m m m'
_space_group_IT_number 139
_space_group_name_Hall '-I 4 2'
loop_
_atom_site_label
_atom_site_type_symbol
_atom_site_fract_x
_atom_site_fract_y
_atom_site_fract_z
Li1 Li 0.1610 0.1610 0.0000
Ag1 Ag 0.0000 0.3260 0.5000
Pd1 Pd 0.0000 0.0000 0.5000
```

Spin magnetization: 0.0 μB per cell
Crystal system: tetragonal

=====

Arrangement Q

Entry from the Alexandria database: a relaxed Li4Ag4Pd crystal (PBE).

Cell and atoms, written as CIF:
```
data_Li4Ag4Pd
_cell_length_a 8.5721
_cell_length_b 8.5721
_cell_length_c 4.0640
_cell_angle_alpha 90.00
_cell_angle_beta 90.00
_cell_angle_gamma 90.00
_space_group_name_H-M_alt 'I 4/m m m'
_space_group_IT_number 139
_space_group_name_Hall '-I 4 2'
loop_
_atom_site_label
_atom_site_type_symbol
_atom_site_fract_x
_atom_site_fract_y
_atom_site_fract_z
Li1 Li 0.0000 0.3086 0.0000
Ag1 Ag 0.1680 0.1680 0.5000
Pd1 Pd 0.0000 0.0000 0.0000
```

Spin magnetization: 0.0 μB per cell
Crystal system: tetragonal

=====

Short version: arrangement P is the most stable of them.